# CuRe2Se | Alexandria via LeMat-Bulk | PBE | optimized geometry
# **Formation energy without anion corrections**: 909 meV per atom
# **Crystal system**: tetragonal
data_CuRe2Se
_cell_length_a 3.748
_cell_length_b 3.748
_cell_length_c 4.369
_cell_angle_alpha 90.00
_cell_angle_beta 90.00
_cell_angle_gamma 90.00
_space_group_name_H-M_alt 'P 1'
_space_group_IT_number 1
loop_
_space_group_symop_operation_xyz
'x,y,z'
loop_
_atom_site_label
_atom_site_type_symbol
_atom_site_fract_x
_atom_site_fract_y
_atom_site_fract_z
Cu1 Cu 0.000 0.000 0.000
Re1 Re 0.000 0.500 0.500
Re2 Re 0.500 0.000 0.500
Se1 Se 0.500 0.500 0.000